Pr8GaGe5 after structural relaxation, computed with PBE.

a = 8.019 Å, b = 8.019 Å, c = 8.019 Å
α = 109.50°, β = 109.40°, γ = 109.50°
Atoms (fractional coordinates):
1 Pr 0.127 0.755 0.012
2 Pr 0.988 0.115 0.743
3 Pr 0.753 0.245 0.370
4 Pr 0.630 0.383 0.875
5 Pr 0.492 0.617 0.247
6 Pr 0.628 0.885 0.873
7 Pr 0.257 0.245 0.372
8 Pr 0.125 0.755 0.508
9 Ga 0.250 0.500 0.750
10 Ge 0.003 0.377 0.129
11 Ge 0.871 0.874 0.249
12 Ge 0.751 0.623 0.625
13 Ge 0.500 0.000 0.500
14 Ge 0.375 0.126 0.997

Results
* energy relative to the elements: -0.7304 eV per atom
* N(E_F): 9.7 states/eV/cell



Pr3Ga2Ge4 after structural relaxation, computed with PBE.

a = 4.234 Å, b = 6.121 Å, c = 9.126 Å
α = 110.08°, β = 90.00°, γ = 110.24°
Atoms (fractional coordinates):
1 Pr 0.625 0.250 0.692
2 Pr 0.000 0.000 0.000
3 Pr 0.375 0.750 0.308
4 Ga 0.677 0.354 0.323
5 Ga 0.323 0.646 0.677
6 Ge 0.714 0.429 0.055
7 Ge 0.286 0.571 0.945
8 Ge 0.910 0.820 0.601
9 Ge 0.090 0.180 0.399

Results
* energy relative to the elements: -0.6258 eV per atom
* N(E_F): 3.4 states/eV/cell



Pr3GaGe4 after structural relaxation, computed with PBE.

a = 4.529 Å, b = 6.040 Å, c = 8.516 Å
α = 110.79°, β = 105.42°, γ = 90.00°
Atoms (fractional coordinates):
1 Pr 0.000 0.500 0.000
2 Pr 0.186 0.186 0.373
3 Pr 0.814 0.814 0.627
4 Ga 0.500 0.000 0.000
5 Ge 0.374 0.579 0.749
6 Ge 0.626 0.421 0.251
7 Ge 0.626 0.830 0.251
8 Ge 0.374 0.170 0.749

Results
* energy relative to the elements: -0.5814 eV per atom
* N(E_F): 2.9 states/eV/cell



Which of these has the highest energy relative to the elements? Pr3GaGe4